# Li4SmCd4 (PBE, relaxed)
data_Li4SmCd4
_symmetry_space_group_name_H-M 'P 42/n m c'
_symmetry_Int_Tables_number 137
_cell_length_a 6.240
_cell_length_b 6.240
_cell_length_c 9.853
_cell_angle_alpha 90.00
_cell_angle_beta 90.00
_cell_angle_gamma 90.00
loop_
_symmetry_equiv_pos_as_xyz
'x,y,z'
'-x,-y,-z'
'-y+1/2,x,z+1/2'
'y+1/2,-x,-z+1/2'
'-x+1/2,-y+1/2,z'
'x+1/2,y+1/2,-z'
'y,-x+1/2,z+1/2'
'-y,x+1/2,-z+1/2'
'x+1/2,-y,-z'
'-x+1/2,y,z'
'-y,-x,-z+1/2'
'y,x,z+1/2'
'-x,y+1/2,-z'
'x,-y+1/2,z'
'y+1/2,x+1/2,-z+1/2'
'-y+1/2,-x+1/2,z+1/2'
loop_
_atom_site_label
_atom_site_type_symbol
_atom_site_fract_x
_atom_site_fract_y
_atom_site_fract_z
Li1 Li 0.030 0.250 0.172
Sm1 Sm 0.250 0.750 0.250
Cd1 Cd 0.020 0.250 0.459
# ΔE_f = -117 meV/atom
# Calculated volume = 383.6 Å³/cell
# Electronic total energy = -34.2 eV per cell
# Spin magnetization = 0.00 μB/f.u.


# TmU3Se6 (PBE, relaxed)
data_TmU3Se6
_symmetry_space_group_name_H-M 'P 1 21/m 1'
_symmetry_Int_Tables_number 11
_cell_length_a 11.520
_cell_length_b 3.986
_cell_length_c 11.960
_cell_angle_alpha 90.00
_cell_angle_beta 108.67
_cell_angle_gamma 90.00
loop_
_symmetry_equiv_pos_as_xyz
'x,y,z'
'-x,-y,-z'
'-x,y+1/2,-z'
'x,-y+1/2,z'
loop_
_atom_site_label
_atom_site_type_symbol
_atom_site_fract_x
_atom_site_fract_y
_atom_site_fract_z
Tm1 Tm 0.042 0.250 0.190
U1 U 0.149 0.250 0.574
U2 U 0.319 0.750 0.000
U3 U 0.425 0.250 0.333
Se1 Se 0.084 0.750 0.390
Se2 Se 0.112 0.250 0.965
Se3 Se 0.191 0.750 0.751
Se4 Se 0.247 0.750 0.216
Se5 Se 0.393 0.250 0.563
Se6 Se 0.494 0.250 0.125
# Calculated volume = 520.3 Å³/cell
# Electronic total energy = -143.2 eV per cell
# Spin magnetization = 8.68 μB/f.u.
# Formation energy (no corrections) = -12.35 eV per formula unit


# Rb2TcAgO4 (PBE, relaxed)
data_Rb2TcAgO4
_symmetry_space_group_name_H-M 'I -4'
_symmetry_Int_Tables_number 82
_cell_length_a 6.341
_cell_length_b 6.341
_cell_length_c 7.723
_cell_angle_alpha 90.00
_cell_angle_beta 90.00
_cell_angle_gamma 90.00
loop_
_symmetry_equiv_pos_as_xyz
'x,y,z'
'y,-x,-z'
'-x,-y,z'
'-y,x,-z'
'x+1/2,y+1/2,z+1/2'
'y+1/2,-x+1/2,-z+1/2'
'-x+1/2,-y+1/2,z+1/2'
'-y+1/2,x+1/2,-z+1/2'
loop_
_atom_site_label
_atom_site_type_symbol
_atom_site_fract_x
_atom_site_fract_y
_atom_site_fract_z
Rb1 Rb 0.000 0.000 0.000
Rb2 Rb 0.000 0.500 0.250
Tc1 Tc 0.000 0.500 0.750
Ag1 Ag 0.000 0.000 0.500
O1 O 0.148 0.272 0.665
# Calculated volume = 310.5 Å³/cell
# Electronic total energy = -88.8 eV per cell
# Spin magnetization = 0.00 μB/f.u.
# Formation energy (no corrections) = -9.40 eV per formula unit


# SmMg11Hg (PBE, relaxed)
data_SmMg11Hg
_symmetry_space_group_name_H-M 'C 1 2/m 1'
_symmetry_Int_Tables_number 12
_cell_length_a 5.921
_cell_length_b 14.375
_cell_length_c 7.716
_cell_angle_alpha 90.00
_cell_angle_beta 111.67
_cell_angle_gamma 90.00
loop_
_symmetry_equiv_pos_as_xyz
'x,y,z'
'-x,-y,-z'
'-x,y,-z'
'x,-y,z'
'x+1/2,y+1/2,z'
'-x+1/2,-y+1/2,-z'
'-x+1/2,y+1/2,-z'
'x+1/2,-y+1/2,z'
loop_
_atom_site_label
_atom_site_type_symbol
_atom_site_fract_x
_atom_site_fract_y
_atom_site_fract_z
Sm1 Sm 0.000 0.000 0.000
Mg1 Mg 0.000 0.000 0.500
Mg2 Mg 0.105 0.395 0.214
Mg3 Mg 0.176 0.174 0.353
Mg4 Mg 0.250 0.250 0.000
Hg1 Hg 0.000 0.500 0.500
# ΔE_f = -87 meV/atom
# Calculated volume = 610.3 Å³/cell
# Electronic total energy = -47.4 eV per cell
# Spin magnetization = 0.00 μB/f.u.


Q: What is the electronic total energy in the third record?
A: -88.8 eV per cell


Q: Look up the electronic total energy of the second one.
A: -143.2 eV per cell